Record 1
Below is crystalline CoAsP2 at its relaxed geometry, with properties calculated at the PBE-GGA level.

Output
M_tot ... 0.167 μB/atom
Crystal system ... tetragonal
E_tot ... -5.12 eV/atom
Energy of formation from the pure elements ... 0.521 eV/atom

The structure in CIF format:
```
data_CoAsP2
_space_group_name_H-M_alt 'I -4 m 2'
_space_group_IT_number 119
_space_group_name_Hall 'I -4 -2'
_cell_length_a 4.061
_cell_length_b 4.061
_cell_length_c 6.767
_cell_angle_alpha 90.00
_cell_angle_beta 90.00
_cell_angle_gamma 90.00
loop_
_atom_site_label
_atom_site_type_symbol
_atom_site_fract_x
_atom_site_fract_y
_atom_site_fract_z
Co1 Co 0.000 0.000 0.000
As1 As 0.000 0.500 0.250
P1 P 0.000 0.000 0.500
P2 P 0.000 0.500 0.750
```

---

Record 2
Below is crystalline PmPuTe2S at its relaxed geometry, with properties calculated at the PBE-GGA level.

Output
M_tot ... 1.043 μB/atom
ΔE_f (raw) ... -6.53 eV/f.u.
Crystal system ... tetragonal
E_tot ... -7.20 eV/atom

The structure in CIF format:
```
data_PmPuTe2S
_space_group_name_H-M_alt 'P 4/n m m'
_space_group_IT_number 129
_cell_length_a 4.444
_cell_length_b 4.444
_cell_length_c 15.719
_cell_angle_alpha 90.00
_cell_angle_beta 90.00
_cell_angle_gamma 90.00
loop_
_space_group_symop_operation_xyz
'x,y,z'
'-x,-y,-z'
'-y+1/2,x,z'
'y+1/2,-x,-z'
'-x+1/2,-y+1/2,z'
'x+1/2,y+1/2,-z'
'y,-x+1/2,z'
'-y,x+1/2,-z'
'x+1/2,-y,-z'
'-x+1/2,y,z'
'-y,-x,-z'
'y,x,z'
'-x,y+1/2,-z'
'x,-y+1/2,z'
'y+1/2,x+1/2,-z'
'-y+1/2,-x+1/2,z'
loop_
_atom_site_label
_atom_site_type_symbol
_atom_site_fract_x
_atom_site_fract_y
_atom_site_fract_z
Pm1 Pm 0.250 0.250 0.107
Pu1 Pu 0.250 0.250 0.607
Te1 Te 0.250 0.250 0.404
Te2 Te 0.250 0.250 0.800
S1 S 0.250 0.750 0.000
```

---

Record 3
Below is crystalline Nb4In at its relaxed geometry, with properties calculated at the PBE-GGA level.

Output
M_tot ... 0.000 μB/atom
Crystal system ... monoclinic
E_tot ... -8.41 eV/atom
Energy of formation from the pure elements ... 0.197 eV/atom

The structure in CIF format:
```
data_Nb4In
_space_group_name_H-M_alt 'C 1 2/m 1'
_space_group_IT_number 12
_space_group_name_Hall '-C 2y'
_cell_length_a 14.222
_cell_length_b 4.908
_cell_length_c 2.807
_cell_angle_alpha 90.00
_cell_angle_beta 101.22
_cell_angle_gamma 90.00
loop_
_atom_site_label
_atom_site_type_symbol
_atom_site_fract_x
_atom_site_fract_y
_atom_site_fract_z
Nb1 Nb 0.106 0.000 0.103
Nb2 Nb 0.200 0.500 0.200
In1 In 0.000 0.500 0.500
```

---

Record 4
Below is crystalline Sb3TePd3 at its relaxed geometry, with properties calculated at the PBE-GGA level.

Output
M_tot ... 0.000 μB/atom
ΔE_f (raw) ... -1.47 eV/f.u.
Crystal system ... trigonal
E_tot ... -4.65 eV/atom

The structure in CIF format:
```
data_Sb3TePd3
_space_group_name_H-M_alt 'R -3'
_space_group_IT_number 148
_space_group_name_Hall '-R 3'
_cell_length_a 8.2880
_cell_length_b 8.2880
_cell_length_c 16.4806
_cell_angle_alpha 90.00
_cell_angle_beta 90.00
_cell_angle_gamma 120.00
loop_
_atom_site_label
_atom_site_type_symbol
_atom_site_fract_x
_atom_site_fract_y
_atom_site_fract_z
Sb1 Sb 0.0106 0.2805 0.0998
Te1 Te 0.0000 0.0000 0.3390
Pd1 Pd 0.0088 0.3812 0.9307
```

---

Record 5
Below is crystalline Ba3NaSe at its relaxed geometry, with properties calculated at the PBE-GGA level.

Output
M_tot ... 0.000 μB/atom
ΔE_f (raw) ... -3.49 eV/f.u.
Crystal system ... cubic
E_tot ... -2.81 eV/atom

The structure in CIF format:
```
data_Ba3NaSe
_space_group_name_H-M_alt 'P m -3 m'
_space_group_IT_number 221
_space_group_name_Hall '-P 4 2 3'
_cell_length_a 6.474
_cell_length_b 6.474
_cell_length_c 6.474
_cell_angle_alpha 90.00
_cell_angle_beta 90.00
_cell_angle_gamma 90.00
loop_
_atom_site_label
_atom_site_type_symbol
_atom_site_fract_x
_atom_site_fract_y
_atom_site_fract_z
Ba1 Ba 0.000 0.000 0.500
Na1 Na 0.500 0.500 0.500
Se1 Se 0.000 0.000 0.000
```

---

Record 6
Below is crystalline Ca2HoPuN4 at its relaxed geometry, with properties calculated at the PBE-GGA level.

Output
M_tot ... 0.375 μB/atom
ΔE_f (raw) ... -10.24 eV/f.u.
Crystal system ... monoclinic
E_tot ... -8.31 eV/atom

The structure in CIF format:
```
data_Ca2HoPuN4
_space_group_name_H-M_alt 'P 1 2/m 1'
_space_group_IT_number 10
_space_group_name_Hall '-P 2y'
_cell_length_a 5.952
_cell_length_b 3.494
_cell_length_c 6.006
_cell_angle_alpha 90.00
_cell_angle_beta 108.66
_cell_angle_gamma 90.00
loop_
_atom_site_label
_atom_site_type_symbol
_atom_site_fract_x
_atom_site_fract_y
_atom_site_fract_z
Ca1 Ca 0.000 0.000 0.000
Ca2 Ca 0.500 0.500 0.000
Ho1 Ho 0.000 0.500 0.500
Pu1 Pu 0.500 0.000 0.500
N1 N 0.263 0.000 0.713
N2 N 0.267 0.500 0.278
```

---

Record 7
Below is crystalline LuPu2Nb at its relaxed geometry, with properties calculated at the PBE-GGA level.

Output
M_tot ... 2.696 μB/atom
Crystal system ... tetragonal
E_tot ... -10.49 eV/atom
Energy of formation from the pure elements ... 0.324 eV/atom

The structure in CIF format:
```
data_LuPu2Nb
_space_group_name_H-M_alt 'P 4/m m m'
_space_group_IT_number 123
_space_group_name_Hall '-P 4 2'
_cell_length_a 3.736
_cell_length_b 3.736
_cell_length_c 6.875
_cell_angle_alpha 90.00
_cell_angle_beta 90.00
_cell_angle_gamma 90.00
loop_
_atom_site_label
_atom_site_type_symbol
_atom_site_fract_x
_atom_site_fract_y
_atom_site_fract_z
Lu1 Lu 0.000 0.000 0.000
Pu1 Pu 0.500 0.500 0.279
Nb1 Nb 0.000 0.000 0.500
```

---

Record 8
Below is crystalline RbZn2Ag at its relaxed geometry, with properties calculated at the PBE-GGA level.

Output
M_tot ... 0.000 μB/atom
Crystal system ... monoclinic
E_tot ... -1.61 eV/atom
Energy of formation from the pure elements ... -0.016 eV/atom

The structure in CIF format:
```
data_RbZn2Ag
_space_group_name_H-M_alt 'C 1 m 1'
_space_group_IT_number 8
_space_group_name_Hall 'C -2y'
_cell_length_a 7.967
_cell_length_b 4.612
_cell_length_c 6.928
_cell_angle_alpha 90.00
_cell_angle_beta 112.85
_cell_angle_gamma 90.00
loop_
_atom_site_label
_atom_site_type_symbol
_atom_site_fract_x
_atom_site_fract_y
_atom_site_fract_z
Rb1 Rb 0.000 0.000 0.000
Zn1 Zn 0.003 0.500 0.506
Zn2 Zn 0.323 0.500 0.467
Ag1 Ag 0.180 0.000 0.537
```